one) VASP calculation (PBE) on ZnBi3F after structural relaxation.

Geometry as CIF:
```
data_ZnBi3F
_chemical_formula_sum 'Zn1 Bi3 F1'
_space_group_name_H-M_alt 'P 1'
_space_group_IT_number 1
_cell_length_a 5.0982
_cell_length_b 5.0982
_cell_length_c 5.0982
_cell_angle_alpha 90.00
_cell_angle_beta 90.00
_cell_angle_gamma 90.00
loop_
_space_group_symop_operation_xyz
'x,y,z'
loop_
_atom_site_label
_atom_site_fract_x
_atom_site_fract_y
_atom_site_fract_z
Zn1 0.5000 0.5000 0.5000
Bi1 0.0000 0.5000 0.0000
Bi2 0.0000 0.0000 0.5000
Bi3 0.5000 0.0000 0.0000
F1 0.0000 0.0000 0.0000
```

Properties
Total moment (μB per formula unit): 0.00
Crystal system: cubic
Theoretical density (g/cm3): 8.9

---

two) VASP calculation (PBE) on ZnBi3F after structural relaxation.

Geometry as CIF:
```
data_ZnBi3F
_chemical_formula_sum 'Zn1 Bi3 F1'
_space_group_name_H-M_alt 'P 1'
_space_group_IT_number 1
_cell_length_a 5.3690
_cell_length_b 5.3690
_cell_length_c 5.3690
_cell_angle_alpha 90.00
_cell_angle_beta 90.00
_cell_angle_gamma 90.00
loop_
_space_group_symop_operation_xyz
'x,y,z'
loop_
_atom_site_label
_atom_site_fract_x
_atom_site_fract_y
_atom_site_fract_z
Zn1 0.0000 0.0000 0.0000
Bi1 0.0000 0.5000 0.0000
Bi2 0.0000 0.0000 0.5000
Bi3 0.5000 0.0000 0.0000
F1 0.5000 0.5000 0.5000
```

Properties
Total moment (μB per formula unit): 0.00
Crystal system: cubic
Theoretical density (g/cm3): 7.6

---

Computed stability ranking, most favorable first: one), two)

---

one) VASP calculation (PBE) on Zn2Bi2F after structural relaxation.

Geometry as CIF:
```
data_Zn2Bi2F
_chemical_formula_sum 'Zn2 Bi2 F1'
_space_group_name_H-M_alt 'P 1'
_space_group_IT_number 1
_cell_length_a 3.6263
_cell_length_b 3.6263
_cell_length_c 8.5751
_cell_angle_alpha 77.79
_cell_angle_beta 77.79
_cell_angle_gamma 90.00
loop_
_space_group_symop_operation_xyz
'x,y,z'
loop_
_atom_site_label
_atom_site_fract_x
_atom_site_fract_y
_atom_site_fract_z
Zn1 0.7500 0.2500 0.5000
Zn2 0.2500 0.7500 0.5000
Bi1 0.3922 0.3922 0.2157
Bi2 0.6078 0.6078 0.7843
F1 0.0000 0.0000 0.0000
```

Properties
Total moment (μB per formula unit): 0.00
Crystal system: tetragonal
Theoretical density (g/cm3): 8.8

---

two) VASP calculation (PBE) on Zn2Bi2F after structural relaxation.

Geometry as CIF:
```
data_Zn2Bi2F
_chemical_formula_sum 'Zn4 Bi4 F2'
_space_group_name_H-M_alt 'P 1'
_space_group_IT_number 1
_cell_length_a 7.3528
_cell_length_b 7.3528
_cell_length_c 4.2461
_cell_angle_alpha 90.00
_cell_angle_beta 90.00
_cell_angle_gamma 90.00
loop_
_space_group_symop_operation_xyz
'x,y,z'
loop_
_atom_site_label
_atom_site_fract_x
_atom_site_fract_y
_atom_site_fract_z
Zn1 0.1208 0.6208 0.5000
Zn2 0.6208 0.8792 0.5000
Zn3 0.8792 0.3792 0.5000
Zn4 0.3792 0.1208 0.5000
Bi1 0.3018 0.8018 0.0000
Bi2 0.8018 0.6982 0.0000
Bi3 0.6982 0.1982 0.0000
Bi4 0.1982 0.3018 0.0000
F1 0.0000 0.0000 0.0000
F2 0.5000 0.5000 0.0000
```

Properties
Total moment (μB per formula unit): 0.00
Crystal system: tetragonal
Theoretical density (g/cm3): 8.2

---

Computed stability ranking, most favorable first: one), two)